1.
Density functional theory data (meta-GGA SCAN) for a PBEsol-optimized structure of BeAsH.

Results
calculated volume = 75.4 Å³ per cell
electronic total energy = -9.4754 eV/atom
space group = Pmc2_1 (26)

Cell lengths 3.9266, 5.1636, 3.7164 Å; angles 90.00, 90.00, 90.00 degrees
Element x y z (fractional)
Be1 0.0000 0.1443 0.0000
Be2 0.0000 0.8557 0.5000
As1 0.5000 0.3459 0.0668
As2 0.5000 0.6541 0.5668
H1 0.0000 0.1249 0.6082
H2 0.0000 0.8751 0.1082

---

2.
Density functional theory data (meta-GGA SCAN) for a PBEsol-optimized structure of Be3AsH.

Results
calculated volume = 74.1 Å³ per cell
electronic total energy = -6.0478 eV/atom
space group = Pm-3m (221)

Cell lengths 4.2010, 4.2010, 4.2010 Å; angles 90.00, 90.00, 90.00 degrees
Element x y z (fractional)
Be1 0.0000 0.0000 0.5000
Be2 0.0000 0.5000 0.0000
Be3 0.5000 0.0000 0.0000
As1 0.0000 0.0000 0.0000
H1 0.5000 0.5000 0.5000

---

3.
Density functional theory data (meta-GGA SCAN) for a PBEsol-optimized structure of BeAsH2Pd.

Results
calculated volume = 54.0 Å³ per cell
electronic total energy = -12.5152 eV/atom
space group = P4/mmm (123)

Cell lengths 3.3833, 3.3833, 4.7153 Å; angles 90.00, 90.00, 90.00 degrees
Element x y z (fractional)
Be1 0.0000 0.0000 0.0000
As1 0.5000 0.5000 0.0000
H1 0.0000 0.5000 0.5000
H2 0.5000 0.0000 0.5000
Pd1 0.0000 0.0000 0.5000

---

4.
Density functional theory data (meta-GGA SCAN) for a PBEsol-optimized structure of BeAs2HSe.

Results
calculated volume = 79.5 Å³ per cell
electronic total energy = -12.9421 eV/atom
space group = P4/mmm (123)

Cell lengths 3.6851, 3.6851, 5.8514 Å; angles 90.00, 90.00, 90.00 degrees
Element x y z (fractional)
Be1 0.0000 0.0000 0.0000
As1 0.0000 0.5000 0.5000
As2 0.5000 0.0000 0.5000
H1 0.5000 0.5000 0.5000
Se1 0.5000 0.5000 0.0000